A plane-wave DFT calculation with PBE was carried out for crystalline TlIrOs2 at its relaxed geometry.

Computed properties:
Density: 19259 kg/m³
Energy above the most stable polymorph in this dataset: 438 meV/atom
ΔE_f: 0.936 eV/atom

Cell: 4.839 2.869 4.830 Å, 92.09 90.00 90.00°
Sites, in units of the cell vectors:
1 Tl 0.500 0.250 0.250
2 Os 0.000 0.030 0.973
3 Os 0.000 0.470 0.527
4 Ir 0.500 0.750 0.750


A plane-wave DFT calculation with PBE was carried out for crystalline TlIrOs2 at its relaxed geometry.

Computed properties:
Density: 19626 kg/m³
Energy above the most stable polymorph in this dataset: 188 meV/atom
ΔE_f: 0.686 eV/atom

Cell: 4.805 4.805 5.105 Å, 80.38 80.38 34.51°
Sites, in units of the cell vectors:
1 Tl 0.750 0.750 0.750
2 Os 0.510 0.510 0.462
3 Os 0.990 0.990 0.038
4 Ir 0.250 0.250 0.250


A plane-wave DFT calculation with PBE was carried out for crystalline TlIrOs2 at its relaxed geometry.

Computed properties:
Density: 20073 kg/m³
Energy above the most stable polymorph in this dataset: 333 meV/atom
ΔE_f: 0.831 eV/atom

Cell: 4.920 4.920 4.920 Å, 132.10 132.10 70.07°
Sites, in units of the cell vectors:
1 Os 0.000 0.000 0.000
2 Os 0.500 0.500 0.000
3 Ir 0.750 0.250 0.500
4 Tl 0.250 0.750 0.500


A plane-wave DFT calculation with PBE was carried out for crystalline TlIrOs2 at its relaxed geometry.

Computed properties:
Density: 19821 kg/m³
Energy above the most stable polymorph in this dataset: 233 meV/atom
ΔE_f: 0.732 eV/atom

Cell: 2.849 2.849 8.021 Å, 90.00 90.00 90.00°
Sites, in units of the cell vectors:
1 Os 0.000 0.000 0.975
2 Os 0.000 0.000 0.525
3 Ir 0.500 0.500 0.750
4 Tl 0.500 0.500 0.250


A plane-wave DFT calculation with PBE was carried out for crystalline TlIrOs2 at its relaxed geometry.

Computed properties:
Density: 18947 kg/m³
Energy above the most stable polymorph in this dataset: 383 meV/atom
ΔE_f: 0.881 eV/atom

Cell: 2.828 2.828 9.879 Å, 90.00 90.00 120.47°
Sites, in units of the cell vectors:
1 Ir 0.500 0.500 0.772
2 Os 0.000 0.000 0.002
3 Os 0.500 0.500 0.224
4 Tl 0.000 0.000 0.502


A plane-wave DFT calculation with PBE was carried out for crystalline TlIrOs2 at its relaxed geometry.

Computed properties:
Density: 19845 kg/m³
Energy above the most stable polymorph in this dataset: 515 meV/atom
ΔE_f: 1.013 eV/atom

Cell: 4.514 4.514 4.514 Å, 60.00 60.00 60.00°
Sites, in units of the cell vectors:
1 Tl 0.500 0.500 0.500
2 Os 0.750 0.750 0.750
3 Os 0.250 0.250 0.250
4 Ir 0.000 0.000 0.000


A plane-wave DFT calculation with PBE was carried out for crystalline TlZnIr2Os at its relaxed geometry.

Computed properties:
Density: 12331 kg/m³
ΔE_f: 2.557 eV/atom

Cell: 4.948 4.644 4.948 Å, 90.00 90.00 90.00°
Sites, in units of the cell vectors:
1 Zn 0.000 0.500 0.000
2 Ir 0.000 0.000 0.500
3 Ir 0.500 0.000 0.000
4 Tl 0.000 0.000 0.000
5 Os 0.500 0.500 0.500


A plane-wave DFT calculation with PBE was carried out for crystalline Tm8Ir2Os at its relaxed geometry.

Computed properties:
Density: 12099 kg/m³
Energy above the most stable polymorph in this dataset: 0 meV/atom
ΔE_f: -0.508 eV/atom

Cell: 4.821 6.763 8.851 Å, 107.13 105.80 90.00°
Sites, in units of the cell vectors:
1 Tm 0.596 0.449 0.191
2 Tm 0.797 0.691 0.594
3 Tm 0.667 0.961 0.333
4 Tm 0.203 0.309 0.406
5 Tm 0.031 0.795 0.062
6 Tm 0.333 0.039 0.667
7 Tm 0.404 0.551 0.809
8 Tm 0.969 0.205 0.938
9 Os 0.500 0.000 0.000
10 Ir 0.814 0.301 0.628
11 Ir 0.186 0.699 0.372


What did the first record say?
A plane-wave DFT calculation with PBE was carried out for crystalline TlIrOs2 at its relaxed geometry.

Computed properties:
Density: 19259 kg/m³
Energy above the most stable polymorph in this dataset: 438 meV/atom
ΔE_f: 0.936 eV/atom

Cell: 4.839 2.869 4.830 Å, 92.09 90.00 90.00°
Sites, in units of the cell vectors:
1 Tl 0.500 0.250 0.250
2 Os 0.000 0.030 0.973
3 Os 0.000 0.470 0.527
4 Ir 0.500 0.750 0.750


Look up the density of the sixth one.
19845 kg/m³